Entry 1:
{
  "formula": "TbAgPb",
  "functional": "GGA-PBE",
  "state": "relaxed",
  "lattice": [[1.9564, -8.5324, 0.0000], [1.9564, 8.5324, 0.0000], [0.0000, 0.0000, 5.1140]],
  "species": ["Tb", "Tb", "Ag", "Ag", "Pb", "Pb"],
  "fractional_positions": [[0.1510, 0.8490, 0.7500], [0.8490, 0.1510, 0.2500], [0.0324, 0.9676, 0.2500], [0.9676, 0.0324, 0.7500], [0.3389, 0.6611, 0.7500], [0.6611, 0.3389, 0.2500]],
  "spacegroup": "Cmcm",
  "delta_e_f_mev_per_atom": -89,
  "dos_at_fermi_per_ev_atom": 0.726,
  "magnetic_moment_mub_per_atom": 0.00
}


Entry 2:
{
  "formula": "Tb2Ag3Pb",
  "functional": "GGA-PBE",
  "state": "relaxed",
  "lattice": [[9.7307, 0.0000, 0.0000], [-4.8654, 8.4271, 0.0000], [0.0000, 0.0000, 6.9595]],
  "species": ["Tb", "Tb", "Tb", "Tb", "Tb", "Tb", "Tb", "Tb", "Ag", "Ag", "Ag", "Ag", "Ag", "Ag", "Ag", "Ag", "Ag", "Ag", "Ag", "Ag", "Pb", "Pb", "Pb", "Pb"],
  "fractional_positions": [[0.0000, 0.0000, 0.2500], [0.0000, 0.0000, 0.7500], [0.9995, 0.4998, 0.2500], [0.0005, 0.5002, 0.7500], [0.5002, 0.0005, 0.2500], [0.4998, 0.9995, 0.7500], [0.5002, 0.4998, 0.2500], [0.4998, 0.5002, 0.7500], [0.1634, 0.3268, 0.0005], [0.1634, 0.3268, 0.4995], [0.1634, 0.8366, 0.0005], [0.1634, 0.8366, 0.4995], [0.3268, 0.1634, 0.5005], [0.3268, 0.1634, 0.9995], [0.6732, 0.8366, 0.0005], [0.6732, 0.8366, 0.4995], [0.8366, 0.1634, 0.5005], [0.8366, 0.1634, 0.9995], [0.8366, 0.6732, 0.5005], [0.8366, 0.6732, 0.9995], [0.3333, 0.6667, 0.0005], [0.3333, 0.6667, 0.4995], [0.6667, 0.3333, 0.5005], [0.6667, 0.3333, 0.9995]],
  "spacegroup": "P6_3/mmc",
  "delta_e_f_mev_per_atom": -292,
  "e_above_lowest_polymorph_ev_per_atom": 0.000,
  "dos_at_fermi_per_ev_atom": 0.746,
  "magnetic_moment_mub_per_atom": 0.00
}


Entry 3:
{
  "formula": "Tb3Ag4Pb2",
  "functional": "GGA-PBE",
  "state": "relaxed",
  "lattice": [[5.5509, -2.3894, 0.0000], [5.5509, 2.3894, 0.0000], [-4.2195, 0.0000, 8.2677]],
  "species": ["Tb", "Tb", "Tb", "Ag", "Ag", "Ag", "Ag", "Pb", "Pb"],
  "fractional_positions": [[0.0000, 0.0000, 0.0000], [0.3412, 0.3412, 0.3219], [0.6588, 0.6588, 0.6781], [0.0829, 0.0829, 0.4254], [0.2912, 0.2912, 0.9651], [0.7088, 0.7088, 0.0349], [0.9171, 0.9171, 0.5746], [0.3844, 0.3844, 0.7234], [0.6156, 0.6156, 0.2766]],
  "spacegroup": "C2/m",
  "delta_e_f_mev_per_atom": -329,
  "dos_at_fermi_per_ev_atom": 0.530,
  "magnetic_moment_mub_per_atom": 0.00
}


Entry 4:
{
  "formula": "TbAgTe4Pb2",
  "functional": "GGA-PBE",
  "state": "relaxed",
  "lattice": [[7.7658, 0.0000, 0.0000], [0.0000, 4.4833, 0.0000], [-2.6657, 0.0000, 7.4255]],
  "species": ["Tb", "Ag", "Te", "Te", "Te", "Te", "Pb", "Pb"],
  "fractional_positions": [[0.0000, 0.0000, 0.0000], [0.5000, 0.5000, 0.0000], [0.2429, 0.5000, 0.2351], [0.2611, 0.0000, 0.7742], [0.7389, 0.0000, 0.2258], [0.7571, 0.5000, 0.7649], [0.0000, 0.5000, 0.5000], [0.5000, 0.0000, 0.5000]],
  "spacegroup": "P2/m",
  "e_form_raw_ev_per_fu": -4.804,
  "magnetic_moment_mub_per_atom": 0.00
}


Entry 5:
{
  "formula": "TbAgTe3Pb",
  "functional": "GGA-PBE",
  "state": "relaxed",
  "lattice": [[8.9554, 0.0000, 0.0000], [0.0000, 4.3830, 0.0000], [-2.4720, 0.0000, 9.6672]],
  "species": ["Tb", "Tb", "Ag", "Ag", "Te", "Te", "Te", "Te", "Te", "Te", "Pb", "Pb"],
  "fractional_positions": [[0.1782, 0.2500, 0.1728], [0.8218, 0.7500, 0.8272], [0.4166, 0.7500, 0.4148], [0.5834, 0.2500, 0.5852], [0.0720, 0.2500, 0.8473], [0.2410, 0.2500, 0.4903], [0.4069, 0.7500, 0.1283], [0.5931, 0.2500, 0.8717], [0.7590, 0.7500, 0.5097], [0.9280, 0.7500, 0.1527], [0.3064, 0.7500, 0.7521], [0.6936, 0.2500, 0.2479]],
  "spacegroup": "P2_1/m",
  "e_form_raw_ev_per_fu": -4.370,
  "magnetic_moment_mub_per_atom": 0.00
}


Entry 6:
{
  "formula": "TbTiAgPb",
  "functional": "GGA-PBE",
  "state": "relaxed",
  "lattice": [[0.0000, 3.5883, 3.5883], [3.5883, 0.0000, 3.5883], [3.5883, 3.5883, 0.0000]],
  "species": ["Tb", "Ti", "Ag", "Pb"],
  "fractional_positions": [[0.0000, 0.0000, 0.0000], [0.5000, 0.5000, 0.5000], [0.2500, 0.2500, 0.2500], [0.7500, 0.7500, 0.7500]],
  "spacegroup": "F-43m",
  "delta_e_f_mev_per_atom": -111,
  "dos_at_fermi_per_ev_atom": 0.771,
  "magnetic_moment_mub_per_atom": 0.52
}